Record 1
# CdSnSO PBE-GGA relaxed
data_CdSnSO
_chemical_formula_sum 'Cd2 Sn2 S2 O2'
_cell_length_a 5.330
_cell_length_b 5.330
_cell_length_c 6.732
_cell_angle_alpha 90.00
_cell_angle_beta 90.00
_cell_angle_gamma 90.00
_space_group_name_H-M_alt 'P 4/n m m'
_space_group_IT_number 129
loop_
_space_group_symop_operation_xyz
'x,y,z'
'-x,-y,-z'
'-y+1/2,x,z'
'y+1/2,-x,-z'
'-x+1/2,-y+1/2,z'
'x+1/2,y+1/2,-z'
'y,-x+1/2,z'
'-y,x+1/2,-z'
'x+1/2,-y,-z'
'-x+1/2,y,z'
'-y,-x,-z'
'y,x,z'
'-x,y+1/2,-z'
'x,-y+1/2,z'
'y+1/2,x+1/2,-z'
'-y+1/2,-x+1/2,z'
loop_
_atom_site_label
_atom_site_fract_x
_atom_site_fract_y
_atom_site_fract_z
Cd1 0.250 0.250 0.154
Sn1 0.250 0.250 0.563
S1 0.250 0.750 0.500
O1 0.250 0.250 0.852
# Total energy in eV for the cell shown: -31.2
# Volume in Å³/cell: 191.3

=====

Record 2
# CdSnSO PBE-GGA relaxed
data_CdSnSO
_chemical_formula_sum 'Cd4 Sn4 S4 O4'
_cell_length_a 6.233
_cell_length_b 9.630
_cell_length_c 5.948
_cell_angle_alpha 90.00
_cell_angle_beta 90.00
_cell_angle_gamma 90.00
_space_group_name_H-M_alt 'P c a 21'
_space_group_IT_number 29
loop_
_space_group_symop_operation_xyz
'x,y,z'
'-x,-y,z+1/2'
'-x+1/2,y,z+1/2'
'x+1/2,-y,z'
loop_
_atom_site_label
_atom_site_fract_x
_atom_site_fract_y
_atom_site_fract_z
Cd1 0.085 0.087 0.000
Sn1 0.010 0.675 0.075
S1 0.073 0.688 0.634
O1 0.070 0.105 0.618
# Total energy in eV for the cell shown: -68.0
# Volume in Å³/cell: 357.1

=====

Record 3
# CdSnSO PBE-GGA relaxed
data_CdSnSO
_chemical_formula_sum 'Cd4 Sn4 S4 O4'
_cell_length_a 3.783
_cell_length_b 12.862
_cell_length_c 6.204
_cell_angle_alpha 90.00
_cell_angle_beta 90.00
_cell_angle_gamma 90.00
_space_group_name_H-M_alt 'C m c m'
_space_group_IT_number 63
_space_group_name_Hall '-C 2c 2'
loop_
_atom_site_label
_atom_site_fract_x
_atom_site_fract_y
_atom_site_fract_z
Cd1 0.000 0.135 0.250
Sn1 0.000 0.423 0.250
S1 0.000 0.237 0.750
O1 0.000 0.000 0.000
# Total energy in eV for the cell shown: -64.5
# Volume in Å³/cell: 301.9

=====

Record 4
# CdSnSO PBE-GGA relaxed
data_CdSnSO
_chemical_formula_sum 'Cd2 Sn2 S2 O2'
_cell_length_a 4.514
_cell_length_b 4.514
_cell_length_c 7.906
_cell_angle_alpha 90.00
_cell_angle_beta 90.00
_cell_angle_gamma 90.00
_space_group_name_H-M_alt 'P 4/n m m'
_space_group_IT_number 129
loop_
_space_group_symop_operation_xyz
'x,y,z'
'-x,-y,-z'
'-y+1/2,x,z'
'y+1/2,-x,-z'
'-x+1/2,-y+1/2,z'
'x+1/2,y+1/2,-z'
'y,-x+1/2,z'
'-y,x+1/2,-z'
'x+1/2,-y,-z'
'-x+1/2,y,z'
'-y,-x,-z'
'y,x,z'
'-x,y+1/2,-z'
'x,-y+1/2,z'
'y+1/2,x+1/2,-z'
'-y+1/2,-x+1/2,z'
loop_
_atom_site_label
_atom_site_fract_x
_atom_site_fract_y
_atom_site_fract_z
Cd1 0.250 0.250 0.161
Sn1 0.250 0.250 0.520
S1 0.250 0.250 0.837
O1 0.250 0.750 0.500
# Total energy in eV for the cell shown: -32.3
# Volume in Å³/cell: 161.1

=====

Record 5
# CdSnSO PBE-GGA relaxed
data_CdSnSO
_chemical_formula_sum 'Cd8 Sn8 S8 O8'
_cell_length_a 7.260
_cell_length_b 7.300
_cell_length_c 12.027
_cell_angle_alpha 90.00
_cell_angle_beta 90.00
_cell_angle_gamma 90.00
_space_group_name_H-M_alt 'P b c a'
_space_group_IT_number 61
loop_
_space_group_symop_operation_xyz
'x,y,z'
'-x,-y,-z'
'-x+1/2,-y,z+1/2'
'x+1/2,y,-z+1/2'
'x+1/2,-y+1/2,-z'
'-x+1/2,y+1/2,z'
'-x,y+1/2,-z+1/2'
'x,-y+1/2,z+1/2'
loop_
_atom_site_label
_atom_site_fract_x
_atom_site_fract_y
_atom_site_fract_z
Cd1 0.031 0.241 0.024
Sn1 0.148 0.616 0.720
S1 0.232 0.528 0.932
O1 0.076 0.219 0.212
# Total energy in eV for the cell shown: -134.2
# Volume in Å³/cell: 637.5

=====

Record 6
# CdSnSO PBE-GGA relaxed
data_CdSnSO
_chemical_formula_sum 'Cd2 Sn2 S2 O2'
_cell_length_a 3.8911
_cell_length_b 3.8911
_cell_length_c 12.6825
_cell_angle_alpha 90.00
_cell_angle_beta 90.00
_cell_angle_gamma 120.00
_space_group_name_H-M_alt 'P 63 m c'
_space_group_IT_number 186
_space_group_name_Hall 'P 6c -2c'
loop_
_atom_site_label
_atom_site_fract_x
_atom_site_fract_y
_atom_site_fract_z
Cd1 0.0000 0.0000 0.0000
Sn1 0.3333 0.6667 0.2640
S1 0.3333 0.6667 0.5933
O1 0.0000 0.0000 0.3271
# Total energy in eV for the cell shown: -34.0
# Volume in Å³/cell: 166.3

=====

Record 7
# CdSnSO PBE-GGA relaxed
data_CdSnSO
_chemical_formula_sum 'Cd2 Sn2 S2 O2'
_cell_length_a 4.154
_cell_length_b 4.154
_cell_length_c 9.445
_cell_angle_alpha 90.00
_cell_angle_beta 90.00
_cell_angle_gamma 90.00
_space_group_name_H-M_alt 'P 4/n m m'
_space_group_IT_number 129
loop_
_space_group_symop_operation_xyz
'x,y,z'
'-x,-y,-z'
'-y+1/2,x,z'
'y+1/2,-x,-z'
'-x+1/2,-y+1/2,z'
'x+1/2,y+1/2,-z'
'y,-x+1/2,z'
'-y,x+1/2,-z'
'x+1/2,-y,-z'
'-x+1/2,y,z'
'-y,-x,-z'
'y,x,z'
'-x,y+1/2,-z'
'x,-y+1/2,z'
'y+1/2,x+1/2,-z'
'-y+1/2,-x+1/2,z'
loop_
_atom_site_label
_atom_site_fract_x
_atom_site_fract_y
_atom_site_fract_z
Cd1 0.250 0.250 0.228
Sn1 0.250 0.750 0.500
S1 0.250 0.250 0.831
O1 0.250 0.250 0.993
# Total energy in eV for the cell shown: -29.2
# Volume in Å³/cell: 163.0

=====

Record 8
# CdSnSO PBE-GGA relaxed
data_CdSnSO
_chemical_formula_sum 'Cd4 Sn4 S4 O4'
_cell_length_a 7.857
_cell_length_b 7.444
_cell_length_c 6.056
_cell_angle_alpha 90.00
_cell_angle_beta 90.00
_cell_angle_gamma 90.00
_space_group_name_H-M_alt 'P c a 21'
_space_group_IT_number 29
loop_
_space_group_symop_operation_xyz
'x,y,z'
'-x,-y,z+1/2'
'-x+1/2,y,z+1/2'
'x+1/2,-y,z'
loop_
_atom_site_label
_atom_site_fract_x
_atom_site_fract_y
_atom_site_fract_z
Cd1 0.085 0.148 0.000
Sn1 0.122 0.621 0.925
S1 0.092 0.130 0.580
O1 0.030 0.418 0.134
# Total energy in eV for the cell shown: -69.2
# Volume in Å³/cell: 354.3

=====

Record 9
# CdSnSO PBE-GGA relaxed
data_CdSnSO
_chemical_formula_sum 'Cd4 Sn4 S4 O4'
_cell_length_a 3.680
_cell_length_b 15.480
_cell_length_c 6.010
_cell_angle_alpha 90.00
_cell_angle_beta 90.00
_cell_angle_gamma 90.00
_space_group_name_H-M_alt 'C m c 21'
_space_group_IT_number 36
loop_
_space_group_symop_operation_xyz
'x,y,z'
'-x,-y,z+1/2'
'-x,y,z'
'x,-y,z+1/2'
'x+1/2,y+1/2,z'
'-x+1/2,-y+1/2,z+1/2'
'-x+1/2,y+1/2,z'
'x+1/2,-y+1/2,z+1/2'
loop_
_atom_site_label
_atom_site_fract_x
_atom_site_fract_y
_atom_site_fract_z
Cd1 0.000 0.180 0.000
Sn1 0.000 0.430 0.062
S1 0.000 0.184 0.431
O1 0.000 0.386 0.384
# Total energy in eV for the cell shown: -67.0
# Volume in Å³/cell: 342.3

=====

Record 10
# CdSnSO PBE-GGA relaxed
data_CdSnSO
_chemical_formula_sum 'Cd4 Sn4 S4 O4'
_cell_length_a 3.918
_cell_length_b 14.390
_cell_length_c 6.042
_cell_angle_alpha 90.00
_cell_angle_beta 90.00
_cell_angle_gamma 90.00
_space_group_name_H-M_alt 'C m c 21'
_space_group_IT_number 36
loop_
_space_group_symop_operation_xyz
'x,y,z'
'-x,-y,z+1/2'
'-x,y,z'
'x,-y,z+1/2'
'x+1/2,y+1/2,z'
'-x+1/2,-y+1/2,z+1/2'
'-x+1/2,y+1/2,z'
'x+1/2,-y+1/2,z+1/2'
loop_
_atom_site_label
_atom_site_fract_x
_atom_site_fract_y
_atom_site_fract_z
Cd1 0.000 0.064 0.000
Sn1 0.000 0.336 0.082
S1 0.000 0.342 0.642
O1 0.000 0.080 0.623
# Total energy in eV for the cell shown: -67.9
# Volume in Å³/cell: 340.6

=====

Record 11
# CdSnSO PBE-GGA relaxed
data_CdSnSO
_chemical_formula_sum 'Cd2 Sn2 S2 O2'
_cell_length_a 4.973
_cell_length_b 4.973
_cell_length_c 7.478
_cell_angle_alpha 90.00
_cell_angle_beta 90.00
_cell_angle_gamma 90.00
_space_group_name_H-M_alt 'P 4/n m m'
_space_group_IT_number 129
loop_
_space_group_symop_operation_xyz
'x,y,z'
'-x,-y,-z'
'-y+1/2,x,z'
'y+1/2,-x,-z'
'-x+1/2,-y+1/2,z'
'x+1/2,y+1/2,-z'
'y,-x+1/2,z'
'-y,x+1/2,-z'
'x+1/2,-y,-z'
'-x+1/2,y,z'
'-y,-x,-z'
'y,x,z'
'-x,y+1/2,-z'
'x,-y+1/2,z'
'y+1/2,x+1/2,-z'
'-y+1/2,-x+1/2,z'
loop_
_atom_site_label
_atom_site_fract_x
_atom_site_fract_y
_atom_site_fract_z
Cd1 0.250 0.250 0.121
Sn1 0.250 0.250 0.670
S1 0.250 0.750 0.000
O1 0.250 0.250 0.410
# Total energy in eV for the cell shown: -32.0
# Volume in Å³/cell: 184.9

=====

Record 12
# CdSnSO PBE-GGA relaxed
data_CdSnSO
_chemical_formula_sum 'Cd4 Sn4 S4 O4'
_cell_length_a 6.039
_cell_length_b 3.846
_cell_length_c 14.380
_cell_angle_alpha 90.00
_cell_angle_beta 90.00
_cell_angle_gamma 90.00
_space_group_name_H-M_alt 'P n m a'
_space_group_IT_number 62
loop_
_space_group_symop_operation_xyz
'x,y,z'
'-x,-y,-z'
'-x+1/2,-y,z+1/2'
'x+1/2,y,-z+1/2'
'x+1/2,-y+1/2,-z+1/2'
'-x+1/2,y+1/2,z+1/2'
'-x,y+1/2,-z'
'x,-y+1/2,z'
loop_
_atom_site_label
_atom_site_fract_x
_atom_site_fract_y
_atom_site_fract_z
Cd1 0.211 0.250 0.189
Sn1 0.208 0.250 0.921
S1 0.138 0.250 0.595
O1 0.163 0.750 0.834
# Total energy in eV for the cell shown: -68.1
# Volume in Å³/cell: 334.0

=====

Record 13
# CdSnSO PBE-GGA relaxed
data_CdSnSO
_chemical_formula_sum 'Cd2 Sn2 S2 O2'
_cell_length_a 3.7017
_cell_length_b 3.7017
_cell_length_c 13.3165
_cell_angle_alpha 90.00
_cell_angle_beta 90.00
_cell_angle_gamma 120.00
_space_group_name_H-M_alt 'P 63 m c'
_space_group_IT_number 186
_space_group_name_Hall 'P 6c -2c'
loop_
_atom_site_label
_atom_site_fract_x
_atom_site_fract_y
_atom_site_fract_z
Cd1 0.3333 0.6667 0.0000
Sn1 0.0000 0.0000 0.2295
S1 0.3333 0.6667 0.3604
O1 0.0000 0.0000 0.0650
# Total energy in eV for the cell shown: -32.6
# Volume in Å³/cell: 158.0

=====

Record 14
# CdSnSO PBE-GGA relaxed
data_CdSnSO
_chemical_formula_sum 'Cd4 Sn4 S4 O4'
_cell_length_a 6.223
_cell_length_b 7.261
_cell_length_c 7.541
_cell_angle_alpha 90.00
_cell_angle_beta 90.00
_cell_angle_gamma 90.00
_space_group_name_H-M_alt 'P 21 21 21'
_space_group_IT_number 19
loop_
_space_group_symop_operation_xyz
'x,y,z'
'-x+1/2,-y,z+1/2'
'x+1/2,-y+1/2,-z'
'-x,y+1/2,-z+1/2'
loop_
_atom_site_label
_atom_site_fract_x
_atom_site_fract_y
_atom_site_fract_z
Cd1 0.048 0.091 0.094
Sn1 0.072 0.651 0.869
S1 0.107 0.914 0.402
O1 0.129 0.347 0.510
# Total energy in eV for the cell shown: -68.6
# Volume in Å³/cell: 340.7

=====

Record 15
# CdSnSO PBE-GGA relaxed
data_CdSnSO
_chemical_formula_sum 'Cd8 Sn8 S8 O8'
_cell_length_a 6.770
_cell_length_b 12.635
_cell_length_c 7.473
_cell_angle_alpha 90.00
_cell_angle_beta 90.00
_cell_angle_gamma 90.00
_space_group_name_H-M_alt 'P b c a'
_space_group_IT_number 61
loop_
_space_group_symop_operation_xyz
'x,y,z'
'-x,-y,-z'
'-x+1/2,-y,z+1/2'
'x+1/2,y,-z+1/2'
'x+1/2,-y+1/2,-z'
'-x+1/2,y+1/2,z'
'-x,y+1/2,-z+1/2'
'x,-y+1/2,z+1/2'
loop_
_atom_site_label
_atom_site_fract_x
_atom_site_fract_y
_atom_site_fract_z
Cd1 0.023 0.216 0.100
Sn1 0.212 0.575 0.661
S1 0.007 0.563 0.179
O1 0.213 0.198 0.845
# Total energy in eV for the cell shown: -131.2
# Volume in Å³/cell: 639.3

=====

Record 16
# CdSnSO PBE-GGA relaxed
data_CdSnSO
_chemical_formula_sum 'Cd4 Sn4 S4 O4'
_cell_length_a 3.462
_cell_length_b 14.288
_cell_length_c 5.893
_cell_angle_alpha 90.00
_cell_angle_beta 90.00
_cell_angle_gamma 90.00
_space_group_name_H-M_alt 'C m c m'
_space_group_IT_number 63
_space_group_name_Hall '-C 2c 2'
loop_
_atom_site_label
_atom_site_fract_x
_atom_site_fract_y
_atom_site_fract_z
Cd1 0.000 0.055 0.250
Sn1 0.000 0.347 0.250
S1 0.000 0.299 0.750
O1 0.000 0.500 0.000
# Total energy in eV for the cell shown: -63.7
# Volume in Å³/cell: 291.5

=====

Record 17
# CdSnSO PBE-GGA relaxed
data_CdSnSO
_chemical_formula_sum 'Cd4 Sn4 S4 O4'
_cell_length_a 6.230
_cell_length_b 7.656
_cell_length_c 8.096
_cell_angle_alpha 90.00
_cell_angle_beta 90.00
_cell_angle_gamma 90.00
_space_group_name_H-M_alt 'P 21 21 21'
_space_group_IT_number 19
loop_
_space_group_symop_operation_xyz
'x,y,z'
'-x+1/2,-y,z+1/2'
'x+1/2,-y+1/2,-z'
'-x,y+1/2,-z+1/2'
loop_
_atom_site_label
_atom_site_fract_x
_atom_site_fract_y
_atom_site_fract_z
Cd1 0.028 0.203 0.382
Sn1 0.001 0.615 0.554
S1 0.211 0.499 0.276
O1 0.162 0.888 0.966
# Total energy in eV for the cell shown: -67.3
# Volume in Å³/cell: 386.2

=====

Record 18
# CdSnSO PBE-GGA relaxed
data_CdSnSO
_chemical_formula_sum 'Cd2 Sn2 S2 O2'
_cell_length_a 4.253
_cell_length_b 4.253
_cell_length_c 8.948
_cell_angle_alpha 90.00
_cell_angle_beta 90.00
_cell_angle_gamma 90.00
_space_group_name_H-M_alt 'P 4/n m m'
_space_group_IT_number 129
loop_
_space_group_symop_operation_xyz
'x,y,z'
'-x,-y,-z'
'-y+1/2,x,z'
'y+1/2,-x,-z'
'-x+1/2,-y+1/2,z'
'x+1/2,y+1/2,-z'
'y,-x+1/2,z'
'-y,x+1/2,-z'
'x+1/2,-y,-z'
'-x+1/2,y,z'
'-y,-x,-z'
'y,x,z'
'-x,y+1/2,-z'
'x,-y+1/2,z'
'y+1/2,x+1/2,-z'
'-y+1/2,-x+1/2,z'
loop_
_atom_site_label
_atom_site_fract_x
_atom_site_fract_y
_atom_site_fract_z
Cd1 0.250 0.250 0.074
Sn1 0.250 0.250 0.667
S1 0.250 0.250 0.374
O1 0.250 0.750 0.000
# Total energy in eV for the cell shown: -32.8
# Volume in Å³/cell: 161.8